1.
A relaxed Li2CdIn9 crystal, computed with PBE-GGA.

Summary:
The energy of formation is -0.07 eV/atom. The calculation puts the magnetization at 0.00 Bohr magnetons per cell. The total energy is -2.52 eV per atom.

a = 4.624 Å, b = 4.624 Å, c = 13.898 Å
α = 90.00°, β = 90.00°, γ = 90.00°
Space group P4/mmm (No. 123)
Symmetry-distinct sites (fractional):
1 Li 0.000 0.000 0.157 (multiplicity 2)
2 Cd 0.000 0.000 0.500 (multiplicity 1)
3 In 0.000 0.500 0.000 (multiplicity 2)
4 In 0.000 0.500 0.326 (multiplicity 4)
5 In 0.500 0.500 0.162 (multiplicity 2)
6 In 0.500 0.500 0.500 (multiplicity 1)



2.
A relaxed Li2Cd3In2 crystal, computed with PBE-GGA.

Summary:
The energy of formation is -0.15 eV/atom. The calculation puts the magnetization at 0.00 Bohr magnetons per cell. The total energy is -1.87 eV per atom.

a = 9.860 Å, b = 4.518 Å, c = 6.841 Å
α = 90.00°, β = 98.85°, γ = 90.00°
Space group C2/m (No. 12)
Symmetry-distinct sites (fractional):
1 Li 0.209 0.000 0.149 (multiplicity 4)
2 Cd 0.000 0.500 0.000 (multiplicity 2)
3 Cd 0.143 0.500 0.423 (multiplicity 4)
4 In 0.082 0.000 0.727 (multiplicity 4)



3.
A relaxed LiCd6In crystal, computed with PBE-GGA.

Summary:
The energy of formation is 0.11 eV/atom. The calculation puts the magnetization at 0.00 Bohr magnetons per cell. The total energy is -1.16 eV per atom.

a = 5.8065 Å, b = 5.8065 Å, c = 23.6445 Å
α = 90.00°, β = 90.00°, γ = 120.00°
Space group R-3m (No. 166, hexagonal axes)
Symmetry-distinct sites (fractional):
1 Li 0.0000 0.0000 0.0000 (multiplicity 3)
2 Cd 0.0028 0.5014 0.4321 (multiplicity 18)
3 In 0.0000 0.0000 0.5000 (multiplicity 3)



4.
A relaxed LiCd12In16 crystal, computed with PBE-GGA.

Summary:
The energy of formation is 0.00 eV/atom. The calculation puts the magnetization at 0.00 Bohr magnetons per cell. The total energy is -1.96 eV per atom.

a = 11.325 Å, b = 16.044 Å, c = 9.726 Å
α = 90.00°, β = 124.48°, γ = 90.00°
Space group Cm (No. 8)
Symmetry-distinct sites (fractional):
1 Li 0.000 0.000 0.000 (multiplicity 2)
2 Cd 0.004 0.500 0.539 (multiplicity 2)
3 Cd 0.039 0.092 0.735 (multiplicity 4)
4 Cd 0.093 0.405 0.097 (multiplicity 4)
5 Cd 0.136 0.187 0.543 (multiplicity 4)
6 Cd 0.200 0.500 0.916 (multiplicity 2)
7 Cd 0.218 0.093 0.338 (multiplicity 4)
8 Cd 0.319 0.190 0.919 (multiplicity 4)
9 In 0.111 0.205 0.035 (multiplicity 4)
10 In 0.225 0.500 0.443 (multiplicity 2)
11 In 0.273 0.364 0.733 (multiplicity 4)
12 In 0.303 0.000 0.075 (multiplicity 2)
13 In 0.306 0.298 0.414 (multiplicity 4)
14 In 0.321 0.000 0.729 (multiplicity 2)
15 In 0.384 0.349 0.135 (multiplicity 4)
16 In 0.478 0.158 0.321 (multiplicity 4)
17 In 0.485 0.500 0.395 (multiplicity 2)
18 In 0.486 0.169 0.720 (multiplicity 4)



5.
A relaxed LiCdIn2 crystal, computed with PBE-GGA.

Summary:
The energy of formation is -0.12 eV/atom. The calculation puts the magnetization at 0.00 Bohr magnetons per cell. The total energy is -2.20 eV per atom.

a = 3.3289 Å, b = 3.3289 Å, c = 28.7260 Å
α = 90.00°, β = 90.00°, γ = 120.00°
Space group R-3m (No. 166, hexagonal axes)
Symmetry-distinct sites (fractional):
1 Li 0.0000 0.0000 0.0000 (multiplicity 3)
2 Cd 0.0000 0.0000 0.5000 (multiplicity 3)
3 In 0.0000 0.0000 0.2543 (multiplicity 6)



6.
A relaxed Li5Cd5In2 crystal, computed with PBE-GGA.

Summary:
The energy of formation is -0.22 eV/atom. The calculation puts the magnetization at 0.00 Bohr magnetons per cell. The total energy is -1.85 eV per atom.

a = 4.482 Å, b = 6.494 Å, c = 9.253 Å
α = 95.91°, β = 103.99°, γ = 110.07°
Space group P-1 (No. 2)
Symmetry-distinct sites (fractional):
1 Li 0.000 0.000 0.000 (multiplicity 1)
2 Li 0.332 0.170 0.497 (multiplicity 2)
3 Li 0.338 0.425 0.252 (multiplicity 2)
4 Cd 0.000 0.500 0.500 (multiplicity 1)
5 Cd 0.007 0.761 0.258 (multiplicity 2)
6 Cd 0.326 0.660 0.995 (multiplicity 2)
7 In 0.334 0.916 0.750 (multiplicity 2)



Copy entry 2 word for word.
A relaxed Li2Cd3In2 crystal, computed with PBE-GGA.

Summary:
The energy of formation is -0.15 eV/atom. The calculation puts the magnetization at 0.00 Bohr magnetons per cell. The total energy is -1.87 eV per atom.

a = 9.860 Å, b = 4.518 Å, c = 6.841 Å
α = 90.00°, β = 98.85°, γ = 90.00°
Space group C2/m (No. 12)
Symmetry-distinct sites (fractional):
1 Li 0.209 0.000 0.149 (multiplicity 4)
2 Cd 0.000 0.500 0.000 (multiplicity 2)
3 Cd 0.143 0.500 0.423 (multiplicity 4)
4 In 0.082 0.000 0.727 (multiplicity 4)